The following is a PBE calculation of a relaxed structure of La2YCd, from the Alexandria database.

abc: 6.201 6.201 6.201
angles: 133.04 133.04 68.60
Sites, in units of the cell vectors:
1 La 0.000 0.000 0.000
2 La 0.750 0.250 0.500
3 Y 0.250 0.750 0.500
4 Cd 0.500 0.500 0.000

**Spin magnetization**: 0.0 μB/f.u.
**Energy relative to the elements**: -34 kJ/mol of formula units